1.
Density functional theory data (PBE) for a relaxed structure of DyEr2Zr.

Its formation energy is 0.084 eV/atom. The density of states at the Fermi level is 5.10 states/eV per cell. The value obtained for the electronic total energy is -5.48 eV/atom. Its space group is No. 123. The value obtained for the energy relative to the lowest polymorph listed for this composition is 3.0 kJ per mole of atoms.

Unit cell a=4.833 b=4.833 c=4.843 alpha=90.00 beta=90.00 gamma=90.00
Positions (direct):
Dy: 0.000 0.000 0.000
Er: 0.000 0.500 0.500
Er: 0.500 0.000 0.500
Zr: 0.500 0.500 0.000



2.
Density functional theory data (PBE) for a relaxed structure of RbTe2S.

The density of states at the Fermi level is 2.24 states/eV per cell. The value obtained for the electronic total energy is -3.18 eV/atom. The formation energy (no corrections) comes out at -0.340 eV/atom. Its space group is No. 141.

Unit cell a=9.779 b=9.779 c=9.779 alpha=141.67 beta=141.67 gamma=55.32
Positions (direct):
Rb: 0.375 0.625 0.750
Rb: 0.625 0.375 0.250
Te: 0.000 0.000 0.000
Te: 0.000 0.000 0.500
Te: 0.000 0.500 0.000
Te: 0.500 0.000 0.500
S: 0.125 0.875 0.250
S: 0.875 0.125 0.750



3.
Density functional theory data (PBE) for a relaxed structure of YEr7Th2.

Its formation energy is 0.096 eV/atom. The density of states at the Fermi level is 16.52 states/eV per cell. The value obtained for the electronic total energy is -5.23 eV/atom. Its space group is No. 2. The value obtained for the energy relative to the lowest polymorph listed for this composition is 0.0 kJ per mole of atoms.

Unit cell a=5.928 b=6.816 c=8.557 alpha=76.72 beta=69.97 gamma=88.29
Positions (direct):
Y: 0.000 0.000 0.000
Er: 0.000 0.500 0.000
Er: 0.139 0.308 0.594
Er: 0.343 0.133 0.209
Er: 0.446 0.633 0.211
Er: 0.554 0.367 0.789
Er: 0.657 0.867 0.791
Er: 0.861 0.692 0.406
Th: 0.269 0.802 0.597
Th: 0.731 0.198 0.403



4.
Density functional theory data (PBE) for a relaxed structure of BaZn2Ag8.

Its formation energy is 0.158 eV/atom. The density of states at the Fermi level is 2.75 states/eV per cell. The value obtained for the electronic total energy is -2.32 eV/atom. Its space group is No. 123.

Unit cell a=5.535 b=5.535 c=9.434 alpha=90.00 beta=90.00 gamma=90.00
Positions (direct):
Ba: 0.000 0.000 0.000
Zn: 0.000 0.500 0.500
Zn: 0.500 0.000 0.500
Ag: 0.252 0.252 0.302
Ag: 0.252 0.252 0.698
Ag: 0.252 0.748 0.302
Ag: 0.252 0.748 0.698
Ag: 0.748 0.252 0.302
Ag: 0.748 0.252 0.698
Ag: 0.748 0.748 0.302
Ag: 0.748 0.748 0.698



5.
Density functional theory data (PBE) for a relaxed structure of KSr4Sc.

Its formation energy is 0.474 eV/atom. The density of states at the Fermi level is 10.49 states/eV per cell. The value obtained for the electronic total energy is -1.89 eV/atom. Its space group is No. 216.

Unit cell a=7.667 b=7.667 c=7.667 alpha=60.00 beta=60.00 gamma=60.00
Positions (direct):
K: 0.000 0.000 0.000
Sr: 0.376 0.376 0.376
Sr: 0.376 0.376 0.871
Sr: 0.376 0.871 0.376
Sr: 0.871 0.376 0.376
Sc: 0.750 0.750 0.750



6.
Density functional theory data (PBE) for a relaxed structure of YTe2Se.

The density of states at the Fermi level is 7.99 states/eV per cell. The value obtained for the electronic total energy is -4.53 eV/atom. The formation energy (no corrections) comes out at -0.473 eV/atom. Its space group is No. 216.

Unit cell a=5.317 b=5.317 c=5.317 alpha=60.00 beta=60.00 gamma=60.00
Positions (direct):
Y: 0.000 0.000 0.000
Te: 0.250 0.250 0.250
Te: 0.500 0.500 0.500
Se: 0.750 0.750 0.750



7.
Density functional theory data (PBE) for a relaxed structure of SmTmSi.

The density of states at the Fermi level is 6.56 states/eV per cell. The value obtained for the electronic total energy is -5.39 eV/atom. The formation energy (no corrections) comes out at -0.521 eV/atom. Its space group is No. 12. The value obtained for the energy relative to the lowest polymorph listed for this composition is 0.0 kJ per mole of atoms.

Unit cell a=6.077 b=6.077 c=8.091 alpha=124.05 beta=124.05 gamma=40.60
Positions (direct):
Sm: 0.085 0.085 0.358
Sm: 0.915 0.915 0.642
Tm: 0.323 0.323 0.922
Tm: 0.677 0.677 0.078
Si: 0.377 0.377 0.338
Si: 0.623 0.623 0.662



8.
Density functional theory data (PBE) for a relaxed structure of La2CoAgPb.

Its formation energy is 0.813 eV/atom. The density of states at the Fermi level is 7.44 states/eV per cell. The value obtained for the electronic total energy is -3.89 eV/atom. Its space group is No. 123. The value obtained for the energy relative to the lowest polymorph listed for this composition is 98.2 kJ per mole of atoms.

Unit cell a=6.119 b=6.119 c=5.138 alpha=90.00 beta=90.00 gamma=90.00
Positions (direct):
La: 0.000 0.500 0.000
La: 0.500 0.000 0.000
Co: 0.000 0.000 0.500
Ag: 0.500 0.500 0.500
Pb: 0.500 0.500 0.000